# 1
DFT (meta-GGA SCAN) results for CoIr3 at its PBEsol-relaxed geometry.

Results
As for the energy of formation from the pure elements: 0.023 eV per atom.

Unit cell a=2.691 b=4.284 c=4.627 alpha=90.00 beta=90.00 gamma=90.00
Space group Pmm2 (No. 25)
Asymmetric unit:
Co 0.000 0.000 0.000 x1
Ir 0.000 0.500 0.328 x1
Ir 0.500 0.000 0.501 x1
Ir 0.500 0.500 0.838 x1

---

# 2
DFT (meta-GGA SCAN) results for TiAgAu2 at its PBEsol-relaxed geometry.

Results
As for the energy of formation from the pure elements: -0.346 eV per atom.

Unit cell a=6.408 b=6.408 c=6.408 alpha=90.00 beta=90.00 gamma=90.00
Space group Fm-3m (No. 225)
Asymmetric unit:
Ti 0.000 0.000 0.000 x4
Ag 0.000 0.000 0.500 x4
Au 0.250 0.250 0.250 x8

---

# 3
DFT (meta-GGA SCAN) results for PrB2Pt2C at its PBEsol-relaxed geometry.

Results
As for the energy of formation from the pure elements: -0.776 eV per atom.

Unit cell a=3.823 b=3.823 c=10.741 alpha=90.00 beta=90.00 gamma=90.00
Space group I4/mmm (No. 139)
Asymmetric unit:
Pr 0.000 0.000 0.000 x2
B 0.000 0.000 0.361 x4
Pt 0.000 0.500 0.250 x4
C 0.000 0.000 0.500 x2

---

# 4
DFT (meta-GGA SCAN) results for HgBi2I at its PBEsol-relaxed geometry.

Results
The formation energy without anion corrections comes out at 0.12 eV per atom.

Unit cell a=4.721 b=4.721 c=23.269 alpha=90.00 beta=90.00 gamma=90.00
Space group I-42d (No. 122)
Asymmetric unit:
Hg 0.000 0.000 0.000 x4
Bi 0.206 0.250 0.125 x8
I 0.000 0.000 0.500 x4

---

# 5
DFT (meta-GGA SCAN) results for AlReTc at its PBEsol-relaxed geometry.

Results
As for the energy of formation from the pure elements: -0.457 eV per atom.

Unit cell a=2.958 b=2.958 c=9.538 alpha=90.00 beta=90.00 gamma=90.00
Space group I4mm (No. 107)
Asymmetric unit:
Al 0.000 0.000 0.000 x2
Re 0.000 0.000 0.671 x2
Tc 0.000 0.000 0.333 x2

---

# 6
DFT (meta-GGA SCAN) results for Li2Ti3NiO8 at its PBEsol-relaxed geometry.

Results
For the offset from the most stable computed form, the calculation gives 29 meV/atom. The formation energy without anion corrections comes out at -2.81 eV per atom.

Unit cell a=5.8538 b=5.8538 c=9.4968 alpha=90.00 beta=90.00 gamma=120.00
Space group P6_3mc (No. 186)
Asymmetric unit:
Li 0.0000 0.0000 0.0000 x2
Li 0.3333 0.6667 0.1075 x2
Ti 0.1686 0.3373 0.7843 x6
Ni 0.3333 0.6667 0.5118 x2
O 0.0000 0.0000 0.1838 x2
O 0.0373 0.5186 0.6654 x6
O 0.1614 0.3227 0.3935 x6
O 0.3333 0.6667 0.8964 x2

---

# 7
DFT (meta-GGA SCAN) results for As2IrAu at its PBEsol-relaxed geometry.

Results
As for the energy of formation from the pure elements: -0.024 eV per atom. For the offset from the most stable computed form, the calculation gives 0 meV/atom.

Unit cell a=5.503 b=5.503 c=11.638 alpha=90.00 beta=90.00 gamma=90.00
Space group I-42d (No. 122)
Asymmetric unit:
As 0.223 0.250 0.125 x8
Ir 0.000 0.000 0.000 x4
Au 0.000 0.000 0.500 x4

---

# 8
DFT (meta-GGA SCAN) results for AsOsAu3 at its PBEsol-relaxed geometry.

Results
As for the energy of formation from the pure elements: 1.406 eV per atom. For the offset from the most stable computed form, the calculation gives 0 meV/atom.

Unit cell a=4.684 b=4.684 c=4.684 alpha=90.00 beta=90.00 gamma=90.00
Space group Pm-3m (No. 221)
Asymmetric unit:
As 0.000 0.000 0.000 x1
Os 0.500 0.500 0.500 x1
Au 0.000 0.000 0.500 x3

---

# 9
DFT (meta-GGA SCAN) results for OsWCl at its PBEsol-relaxed geometry.

Results
The formation energy without anion corrections comes out at 1.27 eV per atom.

Unit cell a=5.979 b=5.979 c=5.979 alpha=90.00 beta=90.00 gamma=90.00
Space group F-43m (No. 216)
Asymmetric unit:
Os 0.000 0.000 0.000 x4
W 0.250 0.250 0.250 x4
Cl 0.250 0.250 0.750 x4

---

# 10
DFT (meta-GGA SCAN) results for NaVF3 at its PBEsol-relaxed geometry.

Results
For the offset from the most stable computed form, the calculation gives 0 meV/atom. The formation energy without anion corrections comes out at -3.02 eV per atom.

Unit cell a=5.663 b=7.794 c=5.436 alpha=90.00 beta=90.00 gamma=90.00
Space group Pnma (No. 62)
Asymmetric unit:
Na 0.058 0.250 0.016 x4
V 0.000 0.000 0.500 x4
F 0.051 0.750 0.386 x4
F 0.198 0.560 0.807 x8

---

# 11
DFT (meta-GGA SCAN) results for FeRe2B2 at its PBEsol-relaxed geometry.

Results
As for the energy of formation from the pure elements: -0.145 eV per atom.

Unit cell a=5.359 b=5.359 c=3.433 alpha=90.00 beta=90.00 gamma=90.00
Space group P4/mbm (No. 127)
Asymmetric unit:
Fe 0.000 0.000 0.000 x2
Re 0.177 0.323 0.500 x4
B 0.122 0.622 0.000 x4

---

# 12
DFT (meta-GGA SCAN) results for BaNaTlCd2 at its PBEsol-relaxed geometry.

Results
As for the energy of formation from the pure elements: -0.008 eV per atom.

Unit cell a=5.413 b=5.413 c=5.515 alpha=90.00 beta=90.00 gamma=90.00
Space group P4/mmm (No. 123)
Asymmetric unit:
Ba 0.000 0.000 0.000 x1
Na 0.500 0.500 0.500 x1
Tl 0.500 0.500 0.000 x1
Cd 0.000 0.500 0.500 x2

---

# 13
DFT (meta-GGA SCAN) results for BaMg2Pb at its PBEsol-relaxed geometry.

Results
As for the energy of formation from the pure elements: -0.158 eV per atom.

Unit cell a=3.797 b=4.321 c=7.597 alpha=90.00 beta=90.00 gamma=90.00
Space group Pmmm (No. 47)
Asymmetric unit:
Ba 0.000 0.000 0.000 x1
Mg 0.500 0.500 0.299 x2
Pb 0.000 0.000 0.500 x1

---

# 14
DFT (meta-GGA SCAN) results for MgSc2O at its PBEsol-relaxed geometry.

Results
The formation energy without anion corrections comes out at -1.42 eV per atom.

Unit cell a=6.464 b=6.464 c=7.794 alpha=90.00 beta=90.00 gamma=90.00
Space group I-42d (No. 122)
Asymmetric unit:
Mg 0.000 0.000 0.000 x4
Sc 0.114 0.250 0.625 x8
O 0.000 0.000 0.500 x4

---

# 15
DFT (meta-GGA SCAN) results for Mg3ZnHg at its PBEsol-relaxed geometry.

Results
As for the energy of formation from the pure elements: 0.101 eV per atom.

Unit cell a=4.970 b=4.970 c=4.970 alpha=90.00 beta=90.00 gamma=90.00
Space group Pm-3m (No. 221)
Asymmetric unit:
Mg 0.000 0.000 0.500 x3
Zn 0.000 0.000 0.000 x1
Hg 0.500 0.500 0.500 x1

---

# 16
DFT (meta-GGA SCAN) results for RbPbCl2 at its PBEsol-relaxed geometry.

Results
The formation energy without anion corrections comes out at -1.11 eV per atom.

Unit cell a=7.606 b=7.606 c=7.606 alpha=90.00 beta=90.00 gamma=90.00
Space group Fm-3m (No. 225)
Asymmetric unit:
Rb 0.000 0.000 0.000 x4
Pb 0.000 0.000 0.500 x4
Cl 0.250 0.250 0.250 x8

---

# 17
DFT (meta-GGA SCAN) results for CsSrS2N at its PBEsol-relaxed geometry.

Results
The formation energy without anion corrections comes out at 0.61 eV per atom.

Unit cell a=5.431 b=5.431 c=4.500 alpha=90.00 beta=90.00 gamma=90.00
Space group P4/mmm (No. 123)
Asymmetric unit:
Cs 0.000 0.000 0.000 x1
Sr 0.500 0.500 0.500 x1
S 0.000 0.500 0.000 x2
N 0.000 0.000 0.500 x1

---

# 18
DFT (meta-GGA SCAN) results for Sc2TlRe at its PBEsol-relaxed geometry.

Results
As for the energy of formation from the pure elements: 0.499 eV per atom.

Unit cell a=3.0104 b=3.0104 c=30.6857 alpha=90.00 beta=90.00 gamma=120.00
Space group R-3m (No. 166, hexagonal axes)
Asymmetric unit:
Sc 0.0000 0.0000 0.0829 x6
Tl 0.0000 0.0000 0.5000 x3
Re 0.0000 0.0000 0.0000 x3

---

# 19
DFT (meta-GGA SCAN) results for HgMoOs2 at its PBEsol-relaxed geometry.

Results
As for the energy of formation from the pure elements: 0.476 eV per atom.

Unit cell a=2.7837 b=2.7837 c=27.8569 alpha=90.00 beta=90.00 gamma=120.00
Space group R3m (No. 160, hexagonal axes)
Asymmetric unit:
Hg 0.0000 0.0000 0.0000 x3
Mo 0.0000 0.0000 0.2432 x3
Os 0.0000 0.0000 0.4977 x3
Os 0.0000 0.0000 0.7555 x3

---

# 20
DFT (meta-GGA SCAN) results for CrOsSe2 at its PBEsol-relaxed geometry.

Results
For the offset from the most stable computed form, the calculation gives 0 meV/atom. The formation energy without anion corrections comes out at 0.21 eV per atom.

Unit cell a=2.9217 b=2.9217 c=27.5255 alpha=90.00 beta=90.00 gamma=120.00
Space group R3m (No. 160, hexagonal axes)
Asymmetric unit:
Cr 0.0000 0.0000 0.0000 x3
Os 0.0000 0.0000 0.2575 x3
Se 0.0000 0.0000 0.5230 x3
Se 0.0000 0.0000 0.7262 x3

---

| no. | total DFT energy (no corrections) (eV per atom) |
| --- | --- |
| 1 | -57.627 |
| 2 | -46.773 |
| 3 | -35.555 |
| 4 | -65.395 |
| 5 | -38.427 |
| 6 | -11.302 |
| 7 | -45.183 |
| 8 | -58.502 |
| 9 | -48.583 |
| 10 | -9.480 |
| 11 | -35.181 |
| 12 | -35.398 |
| 13 | -31.478 |
| 14 | -11.336 |
| 15 | -19.219 |
| 16 | -29.227 |
| 17 | -17.116 |
| 18 | -42.483 |
| 19 | -61.227 |
| 20 | -32.395 |